DFT (PBE) results for a relaxed structure of BeNi2W.

Unit cell a=4.021 b=2.559 c=4.648 alpha=82.96 beta=90.00 gamma=90.00
Positions (direct):
1 Be 0.500 0.750 0.819
2 W 0.000 0.541 0.463
3 Ni 0.000 0.117 0.953
4 Ni 0.500 0.092 0.265

## Properties
- ΔH_f (0 K) (meV/atom) = 23
- E_tot (eV/atom) = -7.0375